{"formula": "Sm5Sb3H", "functional": "SCAN", "state": "single point on PBEsol structure", "crystal_system": "hexagonal", "total_energy_ev_per_cell": -693.4, "density_g_cm3": 8.4, "spacegroup": "P6_3/mcm", "m_tot_mub_per_cell": 0.00, "vol_a3_per_atom": 24.654, "lattice": [[-2.3108, -5.3306, 2.2297], [0.9784, -3.8389, -8.1639], [6.7582, -0.4023, 6.0422]], "species": ["Sm", "Sb", "Sm", "Sm", "H", "Sm", "Sb", "H", "Sm", "Sm", "Sb", "Sm", "Sm", "Sb", "Sm", "Sb", "Sm", "Sb"], "fractional_positions": [[0.5000, 0.3333, 0.6667], [0.7500, 0.3868, 0.3868], [0.5000, 0.6667, 0.3333], [0.7500, 0.7481, 0.7481], [0.5000, 0.0000, 0.0000], [0.7500, 0.0000, 0.2519], [0.2500, 0.3868, 0.0000], [0.0000, 0.0000, 0.0000], [0.2500, 0.2519, 0.2519], [0.0000, 0.3333, 0.6667], [0.2500, 0.0000, 0.3868], [0.7500, 0.2519, 0.0000], [0.2500, 0.7481, 0.0000], [0.7500, 0.6132, 0.0000], [0.0000, 0.6667, 0.3333], [0.2500, 0.6132, 0.6132], [0.2500, 0.0000, 0.7481], [0.7500, 0.0000, 0.6132]]}

***

{"formula": "Sr3SbH", "functional": "SCAN", "state": "single point on PBEsol structure", "crystal_system": "cubic", "total_energy_ev_per_cell": -110.1, "density_g_cm3": 4.7, "spacegroup": "Pm-3m", "m_tot_mub_per_cell": 1.29, "vol_a3_per_atom": 27.520, "lattice": [[5.1627, 0.0000, 0.0000], [0.0000, 5.1627, 0.0000], [0.0000, 0.0000, 5.1627]], "species": ["Sr", "Sr", "H", "Sr", "Sb"], "fractional_positions": [[0.0000, 0.5000, 0.0000], [0.5000, 0.0000, 0.0000], [0.0000, 0.0000, 0.0000], [0.0000, 0.0000, 0.5000], [0.5000, 0.5000, 0.5000]]}

***

{"formula": "Sr2TaSbH", "functional": "SCAN", "state": "single point on PBEsol structure", "crystal_system": "tetragonal", "total_energy_ev_per_cell": -148.2, "density_g_cm3": 4.3, "spacegroup": "P4/mmm", "m_tot_mub_per_cell": 1.55, "vol_a3_per_atom": 37.155, "lattice": [[5.1525, 0.0000, 0.0000], [0.0000, 6.0046, 0.0000], [0.0000, 0.0000, 6.0046]], "species": ["Sb", "Ta", "Sr", "H", "Sr"], "fractional_positions": [[0.5000, 0.0000, 0.0000], [0.0000, 0.0000, 0.0000], [0.0000, 0.5000, 0.0000], [0.5000, 0.5000, 0.5000], [0.0000, 0.0000, 0.5000]]}

***

{"formula": "SrSbTe2H", "functional": "SCAN", "state": "single point on PBEsol structure", "crystal_system": "tetragonal", "total_energy_ev_per_cell": -139.2, "density_g_cm3": 6.3, "spacegroup": "P4/mmm", "m_tot_mub_per_cell": 0.00, "vol_a3_per_atom": 24.357, "lattice": [[4.0102, 0.0000, 0.0000], [0.0000, 5.5108, 0.0000], [0.0000, 0.0000, 5.5108]], "species": ["Sr", "Te", "Sb", "H", "Te"], "fractional_positions": [[0.5000, 0.5000, 0.5000], [0.0000, 0.5000, 0.0000], [0.5000, 0.0000, 0.0000], [0.0000, 0.0000, 0.0000], [0.0000, 0.0000, 0.5000]]}

***

{"formula": "SrYSb2H", "functional": "SCAN", "state": "single point on PBEsol structure", "crystal_system": "tetragonal", "total_energy_ev_per_cell": -130.9, "density_g_cm3": 6.0, "spacegroup": "P4/mmm", "m_tot_mub_per_cell": 0.00, "vol_a3_per_atom": 23.416, "lattice": [[-3.5341, 2.0319, -0.6966], [-1.2695, -3.5086, -3.7933], [-2.4547, -3.0276, 3.6219]], "species": ["Y", "Sb", "H", "Sb", "Sr"], "fractional_positions": [[0.5000, 0.0000, 0.0000], [0.0000, 0.5000, 0.0000], [0.0000, 0.0000, 0.0000], [0.0000, 0.0000, 0.5000], [0.5000, 0.5000, 0.5000]]}

***

{"formula": "SrZrSbH2", "functional": "SCAN", "state": "single point on PBEsol structure", "crystal_system": "tetragonal", "total_energy_ev_per_cell": -99.0, "density_g_cm3": 4.8, "spacegroup": "P4/mmm", "m_tot_mub_per_cell": 0.00, "vol_a3_per_atom": 21.031, "lattice": [[4.3632, 0.0000, 0.0000], [0.0000, 4.3632, 0.0000], [0.0000, 0.0000, 5.5236]], "species": ["H", "Zr", "H", "Sb", "Sr"], "fractional_positions": [[0.5000, 0.0000, 0.0000], [0.0000, 0.0000, 0.0000], [0.0000, 0.5000, 0.0000], [0.0000, 0.0000, 0.5000], [0.5000, 0.5000, 0.5000]]}

***

{"formula": "TaSb2H2", "functional": "SCAN", "state": "single point on PBEsol structure", "crystal_system": "tetragonal", "density_g_cm3": 9.3, "spacegroup": "I4/mmm", "e_above_lowest_polymorph_mev_per_atom": 0, "m_tot_mub_per_cell": 0.00, "vol_a3_per_atom": 15.293, "lattice": [[4.6538, 0.0460, 0.0709], [-1.9130, 4.2427, -0.0709], [-1.9130, -1.7976, 3.8438]], "species": ["Sb", "Sb", "Ta", "H", "H"], "fractional_positions": [[0.5000, 0.2500, 0.7500], [0.5000, 0.7500, 0.2500], [0.0000, 0.0000, 0.0000], [0.0000, 0.4269, 0.4269], [0.0000, 0.5731, 0.5731]]}

***

{"formula": "TaSbH3", "functional": "SCAN", "state": "single point on PBEsol structure", "crystal_system": "cubic", "total_energy_ev_per_cell": -106.9, "density_g_cm3": 9.5, "spacegroup": "Pm-3m", "m_tot_mub_per_cell": 0.01, "vol_a3_per_atom": 10.731, "lattice": [[-2.1347, 1.1741, 2.8793], [-0.5097, -3.5773, 1.0809], [3.0674, 0.2227, 2.1834]], "species": ["H", "Sb", "H", "Ta", "H"], "fractional_positions": [[0.0000, 0.0000, 0.5000], [0.0000, 0.0000, 0.0000], [0.5000, 0.0000, 0.0000], [0.5000, 0.5000, 0.5000], [0.0000, 0.5000, 0.0000]]}

***

{"formula": "TaSb2H2", "functional": "SCAN", "state": "single point on PBEsol structure", "crystal_system": "tetragonal", "density_g_cm3": 10.1, "spacegroup": "P4/mbm", "e_above_lowest_polymorph_mev_per_atom": 166, "m_tot_mub_per_cell": 0.00, "vol_a3_per_atom": 13.963, "lattice": [[3.3770, 0.0000, 0.0000], [0.0000, 6.4303, 0.0000], [0.0000, 0.0000, 6.4303]], "species": ["H", "Sb", "Sb", "Ta", "Sb", "Sb", "H", "H", "H", "Ta"], "fractional_positions": [[0.0000, 0.3212, 0.8212], [0.5000, 0.3439, 0.1561], [0.5000, 0.6561, 0.8439], [0.0000, 0.0000, 0.0000], [0.5000, 0.1561, 0.6561], [0.5000, 0.8439, 0.3439], [0.0000, 0.8212, 0.6788], [0.0000, 0.1788, 0.3212], [0.0000, 0.6788, 0.1788], [0.0000, 0.5000, 0.5000]]}

***

{"formula": "TaTi2SbH", "functional": "SCAN", "state": "single point on PBEsol structure", "crystal_system": "tetragonal", "total_energy_ev_per_cell": -141.3, "density_g_cm3": 9.4, "spacegroup": "P4/mmm", "m_tot_mub_per_cell": 0.12, "vol_a3_per_atom": 14.089, "lattice": [[3.9093, 0.0000, 0.0000], [0.0000, 4.2450, 0.0000], [0.0000, 0.0000, 4.2450]], "species": ["Ti", "H", "Ti", "Sb", "Ta"], "fractional_positions": [[0.0000, 0.5000, 0.0000], [0.0000, 0.0000, 0.0000], [0.0000, 0.0000, 0.5000], [0.5000, 0.5000, 0.5000], [0.5000, 0.0000, 0.0000]]}

***

{"formula": "SbTe3H", "functional": "SCAN", "state": "single point on PBEsol structure", "crystal_system": "cubic", "total_energy_ev_per_cell": -147.6, "density_g_cm3": 4.5, "spacegroup": "Pm-3m", "m_tot_mub_per_cell": 0.42, "vol_a3_per_atom": 37.417, "lattice": [[5.7194, 0.0000, 0.0000], [0.0000, 5.7194, 0.0000], [0.0000, 0.0000, 5.7194]], "species": ["Sb", "H", "Te", "Te", "Te"], "fractional_positions": [[0.0000, 0.0000, 0.0000], [0.5000, 0.5000, 0.5000], [0.0000, 0.0000, 0.5000], [0.0000, 0.5000, 0.0000], [0.5000, 0.0000, 0.0000]]}

***

{"formula": "TlSb2TeH", "functional": "SCAN", "state": "single point on PBEsol structure", "crystal_system": "tetragonal", "total_energy_ev_per_cell": -181.2, "density_g_cm3": 5.2, "spacegroup": "P4/mmm", "m_tot_mub_per_cell": 0.02, "vol_a3_per_atom": 37.121, "lattice": [[-4.6398, -1.3401, 2.9630], [2.9842, -3.8061, 2.9515], [1.3187, 4.0587, 3.9006]], "species": ["Sb", "H", "Sb", "Te", "Tl"], "fractional_positions": [[0.0000, 0.5000, 0.0000], [0.5000, 0.5000, 0.5000], [0.5000, 0.0000, 0.0000], [0.0000, 0.0000, 0.5000], [0.0000, 0.0000, 0.0000]]}